First-principles (PBE) data for AlInAu2 after structural relaxation, as listed in the Alexandria database.

Cell: 2.862 3.494 7.680 Å, 90.00 90.00 90.00°
Fractional coordinates of all 4 atoms:
1 Au 0.000 0.000 0.962
2 Au 0.000 0.000 0.538
3 Al 0.500 0.500 0.750
4 In 0.500 0.500 0.250

DOS(E_F) (states/eV/atom): 0.37
ΔH_f (0 K) (eV/f.u.): -0.78